1.
## Th2FeSi (GGA-PBE)

Data for a geometry-optimized Th2FeSi structure.

The structure in extended XYZ format:
```
8
Lattice="5.924 0.000 0.000 0.000 3.845 0.000 -2.871 0.000 7.849" Properties=species:S:1:pos:R:3 pbc="T T T"
Th 0.029 0.961 3.206
Th 1.463 2.884 0.459
Th 1.590 0.961 7.390
Th 3.024 2.884 4.643
Fe -1.389 0.961 6.208
Fe 4.442 2.884 1.641
Si -0.038 2.884 5.582
Si 3.091 0.961 2.267
```

Properties
For the formation energy (no corrections), the calculation gives -0.397 eV per atom. The total moment is 0.0 μB per formula unit. Its calculated volume is 89 Å³/f.u.

2.
## CaEr2Pb (GGA-PBE)

Data for a geometry-optimized CaEr2Pb structure.

The structure in extended XYZ format:
```
4
Lattice="1.782 1.029 12.252 -1.782 1.029 12.252 0.000 -2.058 12.252" Properties=species:S:1:pos:R:3 pbc="T T T"
Ca 0.000 0.000 0.000
Er 0.000 0.000 15.249
Er 0.000 0.000 21.507
Pb 0.000 0.000 18.378
```

Properties
The total moment is 0.0 μB per formula unit. As for the formation energy: 0.145 eV per atom. Its calculated volume is 135 Å³/f.u.

3.
## La6YZn5 (GGA-PBE)

Data for a geometry-optimized La6YZn5 structure.

The structure in extended XYZ format:
```
12
Lattice="5.312 0.000 0.000 0.000 7.666 0.000 -2.658 0.000 8.164" Properties=species:S:1:pos:R:3 pbc="T T T"
La 0.000 1.682 0.000
La 0.000 5.983 0.000
La 0.008 1.884 5.296
La 0.008 5.782 5.296
La 2.647 1.884 2.868
La 2.647 5.782 2.868
Y 2.656 3.833 0.000
Zn -0.013 3.833 2.418
Zn -0.016 0.000 2.740
Zn 2.656 0.000 0.000
Zn 2.670 0.000 5.423
Zn 2.667 3.833 5.746
```

Properties
The total moment is 0.0 μB per formula unit. As for the formation energy: -0.214 eV per atom. Its calculated volume is 332 Å³/f.u.

4.
## Pm3Cd4Cu2 (GGA-PBE)

Data for a geometry-optimized Pm3Cd4Cu2 structure.

The structure in extended XYZ format:
```
9
Lattice="5.581 -2.408 0.000 5.581 2.408 0.000 -4.314 0.000 7.912" Properties=species:S:1:pos:R:3 pbc="T T T"
Pm 0.000 0.000 0.000
Pm 2.081 0.000 2.791
Pm 4.767 0.000 5.121
Cd -1.190 0.000 2.887
Cd -0.879 0.000 7.450
Cd 7.727 0.000 0.462
Cd 8.038 0.000 5.025
Cu 1.380 0.000 5.848
Cu 5.468 0.000 2.064
```

Properties
The total moment is 0.0 μB per formula unit. As for the formation energy: -0.244 eV per atom. Its calculated volume is 213 Å³/f.u.